1.
This record from Alexandria describes crystalline AlCd2IrO at its relaxed geometry. The functional is GGA-PBE.

Cell lengths 5.1257, 4.4548, 5.1257 Å; angles 90.00, 90.00, 90.00 degrees
Positions (direct):
Al1 0.0000 0.0000 0.0000
Cd1 0.5000 0.0000 0.0000
O1 0.5000 0.5000 0.5000
Cd2 0.0000 0.0000 0.5000
Ir1 0.0000 0.5000 0.0000

Results
E_form (uncorrected) = 0.996 eV per atom

2.
This record from Alexandria describes crystalline BaCoP2 at its relaxed geometry. The functional is GGA-PBE.

Cell lengths 3.7632, 4.6260, 5.0880 Å; angles 83.58, 90.00, 90.00 degrees
Positions (direct):
P1 0.0000 0.4951 0.7044
Co1 0.5000 0.7500 0.7500
P2 0.0000 0.0049 0.7956
Ba1 0.5000 0.2500 0.2500

Results
Energy above the lowest structure with this stoichiometry = 11.1 meV/atom
Formation enthalpy at 0 K = -0.596 eV per atom

3.
This record from Alexandria describes crystalline LiNdZn2 at its relaxed geometry. The functional is GGA-PBE.

Cell lengths 3.3884, 3.3884, 7.0356 Å; angles 90.00, 90.00, 90.00 degrees
Positions (direct):
Nd1 0.5000 0.5000 0.5000
Li1 0.5000 0.5000 0.0000
Zn1 0.0000 0.0000 0.1965
Zn2 0.0000 0.0000 0.8035

Results
Energy above the lowest structure with this stoichiometry = 73.9 meV/atom
Formation enthalpy at 0 K = -0.178 eV per atom

4.
This record from Alexandria describes crystalline TiNbGaRh at its relaxed geometry. The functional is GGA-PBE.

Cell lengths 4.4795, 4.4795, 4.4795 Å; angles 60.00, 60.00, 60.00 degrees
Positions (direct):
Ti1 0.0000 0.0000 0.0000
Rh1 0.2500 0.2500 0.2500
Nb1 0.7500 0.7500 0.7500
Ga1 0.5000 0.5000 0.5000

Results
Formation enthalpy at 0 K = -0.347 eV per atom

Let's list VASP energy in order: -2.88 -5.56 -2.49 -7.43 eV per atom.